# 1
A relaxed Ba3Li2Bi4 crystal, computed with PBE.

For the formation energy, the calculation gives -0.754 eV/atom. The size of the total moment comes out at 0.000 Bohr magnetons per cell. The value obtained for the electronic total energy is -3.5455 eV per atom. As for the density of states at the Fermi level: 1.364 states/eV per cell.

It has space group C2/m (No. 12), with a = 13.231 Å, b = 4.987 Å, c = 9.811 Å, α = 90.00°, β = 105.33° and γ = 90.00°. The inequivalent atoms are Ba at (0.000, 0.000, 0.000), Ba at (0.112, 0.500, 0.685), Li at (0.207, 0.500, 0.383), Bi at (0.100, 0.000, 0.379) and Bi at (0.214, 0.500, 0.080).

# 2
A relaxed RuI crystal, computed with PBE.

The size of the total moment comes out at 0.000 Bohr magnetons per cell. The value obtained for the electronic total energy is -4.7217 eV per atom. As for the density of states at the Fermi level: 11.183 states/eV per cell.

It has space group Pmmn (No. 59, origin choice 2), with a = 3.886 Å, b = 12.444 Å, c = 6.414 Å, α = 90.00°, β = 90.00° and γ = 90.00°. The inequivalent atoms are Ru at (0.250, 0.057, 0.033), Ru at (0.250, 0.750, 0.416), I at (0.250, 0.250, 0.847) and I at (0.250, 0.590, 0.679).

# 3
A relaxed SrB2Mo crystal, computed with PBE.

For the formation energy, the calculation gives 0.613 eV/atom. The size of the total moment comes out at 0.000 Bohr magnetons per cell. The value obtained for the electronic total energy is -5.8539 eV per atom. As for the density of states at the Fermi level: 7.132 states/eV per cell.

It has space group I-42d (No. 122), with a = 5.539 Å, b = 5.539 Å, c = 11.161 Å, α = 90.00°, β = 90.00° and γ = 90.00°. The inequivalent atoms are Sr at (0.000, 0.000, 0.000), B at (0.107, 0.250, 0.625) and Mo at (0.000, 0.000, 0.500).

electronic total energy of number 2 (RuI)? -4.7217 eV per atom

Please write out number 3 again, unchanged.
A relaxed SrB2Mo crystal, computed with PBE.

For the formation energy, the calculation gives 0.613 eV/atom. The size of the total moment comes out at 0.000 Bohr magnetons per cell. The value obtained for the electronic total energy is -5.8539 eV per atom. As for the density of states at the Fermi level: 7.132 states/eV per cell.

It has space group I-42d (No. 122), with a = 5.539 Å, b = 5.539 Å, c = 11.161 Å, α = 90.00°, β = 90.00° and γ = 90.00°. The inequivalent atoms are Sr at (0.000, 0.000, 0.000), B at (0.107, 0.250, 0.625) and Mo at (0.000, 0.000, 0.500).

electronic total energy of number 2 (RuI)? -4.7217 eV per atom